(1)
PBE-GGA Sc2PdPt4, optimized geometry; density = 12.54 g/cm3; energy of formation from the pure elements = -688 meV/atom; polymorph energy (0 for the lowest one) = 0 meV/atom; Fermi-level density of states = 3.88 states/eV per cell; uncorrected energy = -6.6905 eV per atom; space-group type = No. 139
1.0
3.609 0.000 -0.905
-0.227 3.602 -0.905
0.508 0.541 9.678
Pt Sc Pd
4 2 1
Direct
0.859 0.859 0.719
0.141 0.141 0.281
0.250 0.750 0.500
0.750 0.250 0.500
0.598 0.598 0.196
0.402 0.402 0.804
0.000 0.000 0.000



(2)
PBE-GGA Sc4Pd3Pt2, optimized geometry; density = 9.30 g/cm3; energy of formation from the pure elements = -993 meV/atom; Fermi-level density of states = 5.38 states/eV per cell; uncorrected energy = -6.8801 eV per atom; space-group type = No. 12
1.0
-0.001 0.560 -4.311
-3.646 -1.841 -2.430
-5.326 6.832 0.887
Pd Pt Sc
3 2 4
Direct
0.659 0.683 0.560
0.341 0.317 0.440
0.000 0.000 0.000
0.684 0.632 0.212
0.316 0.368 0.788
0.658 0.685 0.886
0.342 0.315 0.114
0.970 0.061 0.665
0.030 0.939 0.335



Please write out number 1 again, unchanged.
PBE-GGA Sc2PdPt4, optimized geometry; density = 12.54 g/cm3; energy of formation from the pure elements = -688 meV/atom; polymorph energy (0 for the lowest one) = 0 meV/atom; Fermi-level density of states = 3.88 states/eV per cell; uncorrected energy = -6.6905 eV per atom; space-group type = No. 139
1.0
3.609 0.000 -0.905
-0.227 3.602 -0.905
0.508 0.541 9.678
Pt Sc Pd
4 2 1
Direct
0.859 0.859 0.719
0.141 0.141 0.281
0.250 0.750 0.500
0.750 0.250 0.500
0.598 0.598 0.196
0.402 0.402 0.804
0.000 0.000 0.000